(1)
Below is a relaxed Lu2MnH crystal, with properties calculated at the PBE-GGA level.

abc: 8.5795 8.5795 8.5795
angles: 22.11 22.11 22.11
Atoms (fractional coordinates):
Lu 0.1137 0.1137 0.1137
Lu 0.8863 0.8863 0.8863
Mn 0.0000 0.0000 0.0000
H 0.5000 0.5000 0.5000

Output
Crystal system: trigonal
Total energy: -5.0792 eV/atom

---

(2)
Below is a relaxed LuMoH3 crystal, with properties calculated at the PBE-GGA level.

abc: 3.6337 3.6337 3.6337
angles: 90.00 90.00 90.00
Atoms (fractional coordinates):
Lu 0.0000 0.0000 0.0000
Mo 0.5000 0.5000 0.5000
H 0.0000 0.5000 0.5000
H 0.5000 0.0000 0.5000
H 0.5000 0.5000 0.0000

Output
Crystal system: cubic
Total energy: -5.3797 eV/atom

---

(3)
Below is a relaxed Lu2MoH crystal, with properties calculated at the PBE-GGA level.

abc: 8.6012 8.6012 8.6012
angles: 20.84 20.84 20.84
Atoms (fractional coordinates):
Lu 0.1092 0.1092 0.1092
Lu 0.8908 0.8908 0.8908
Mo 0.0000 0.0000 0.0000
H 0.5000 0.5000 0.5000

Output
Crystal system: trigonal
Total energy: -5.3497 eV/atom

---

(4)
Below is a relaxed Lu3Mo5H12 crystal, with properties calculated at the PBE-GGA level.

abc: 9.9041 9.9041 9.9041
angles: 109.47 109.47 109.47
Atoms (fractional coordinates):
Lu 0.1250 0.2500 0.3750
Lu 0.1250 0.3750 0.7500
Lu 0.2500 0.3750 0.1250
Lu 0.2500 0.8750 0.6250
Lu 0.3750 0.1250 0.2500
Lu 0.3750 0.7500 0.1250
Lu 0.6250 0.2500 0.8750
Lu 0.6250 0.8750 0.7500
Lu 0.7500 0.1250 0.3750
Lu 0.7500 0.6250 0.8750
Lu 0.8750 0.6250 0.2500
Lu 0.8750 0.7500 0.6250
Mo 0.0000 0.0000 0.0000
Mo 0.0000 0.0000 0.5000
Mo 0.0000 0.5000 0.0000
Mo 0.0000 0.5000 0.5000
Mo 0.1250 0.7500 0.8750
Mo 0.1250 0.8750 0.2500
Mo 0.2500 0.1250 0.8750
Mo 0.2500 0.6250 0.3750
Mo 0.3750 0.2500 0.6250
Mo 0.3750 0.6250 0.7500
Mo 0.5000 0.0000 0.0000
Mo 0.5000 0.0000 0.5000
Mo 0.5000 0.5000 0.0000
Mo 0.5000 0.5000 0.5000
Mo 0.6250 0.3750 0.2500
Mo 0.6250 0.7500 0.3750
Mo 0.7500 0.3750 0.6250
Mo 0.7500 0.8750 0.1250
Mo 0.8750 0.1250 0.7500
Mo 0.8750 0.2500 0.1250
H 0.0472 0.2126 0.1297
H 0.0472 0.3346 0.9175
H 0.0825 0.6297 0.4171
H 0.0825 0.9528 0.6654
H 0.0829 0.7126 0.6654
H 0.0829 0.8703 0.4175
H 0.1297 0.0472 0.2126
H 0.1297 0.5825 0.9171
H 0.1654 0.2126 0.5829
H 0.1654 0.4528 0.5825
H 0.2126 0.1297 0.0472
H 0.2126 0.5829 0.1654
H 0.2874 0.3346 0.9171
H 0.2874 0.4528 0.3703
H 0.3346 0.9171 0.2874
H 0.3346 0.9175 0.0472
H 0.3703 0.2874 0.4528
H 0.3703 0.5829 0.9175
H 0.4171 0.0825 0.6297
H 0.4171 0.8346 0.7874
H 0.4175 0.0829 0.8703
H 0.4175 0.8346 0.5472
H 0.4528 0.3703 0.2874
H 0.4528 0.5825 0.1654
H 0.5472 0.4175 0.8346
H 0.5472 0.6297 0.7126
H 0.5825 0.1654 0.4528
H 0.5825 0.9171 0.1297
H 0.5829 0.1654 0.2126
H 0.5829 0.9175 0.3703
H 0.6297 0.4171 0.0825
H 0.6297 0.7126 0.5472
H 0.6654 0.0825 0.9528
H 0.6654 0.0829 0.7126
H 0.7126 0.5472 0.6297
H 0.7126 0.6654 0.0829
H 0.7874 0.4171 0.8346
H 0.7874 0.8703 0.9528
H 0.8346 0.5472 0.4175
H 0.8346 0.7874 0.4171
H 0.8703 0.4175 0.0829
H 0.8703 0.9528 0.7874
H 0.9171 0.1297 0.5825
H 0.9171 0.2874 0.3346
H 0.9175 0.0472 0.3346
H 0.9175 0.3703 0.5829
H 0.9528 0.6654 0.0825
H 0.9528 0.7874 0.8703

Output
Crystal system: cubic
Total energy: -5.5586 eV/atom

---

(5)
Below is a relaxed LuP2H4NO7 crystal, with properties calculated at the PBE-GGA level.

abc: 7.8119 10.9957 8.7266
angles: 90.00 107.79 90.00
Atoms (fractional coordinates):
Lu 0.2405 0.1019 0.2572
Lu 0.2405 0.3981 0.7572
Lu 0.7595 0.6019 0.2428
Lu 0.7595 0.8981 0.7428
P 0.1198 0.1011 0.8211
P 0.1198 0.3989 0.3211
P 0.4274 0.1299 0.6951
P 0.4274 0.3701 0.1951
P 0.5726 0.6299 0.8049
P 0.5726 0.8701 0.3049
P 0.8802 0.6011 0.6789
P 0.8802 0.8989 0.1789
H 0.0994 0.7130 0.1491
H 0.0994 0.7870 0.6491
H 0.1136 0.7097 0.9610
H 0.1136 0.7903 0.4610
H 0.1713 0.5876 0.0800
H 0.1713 0.9124 0.5800
H 0.3089 0.7100 0.1258
H 0.3089 0.7900 0.6258
H 0.6911 0.2100 0.3742
H 0.6911 0.2900 0.8742
H 0.8287 0.0876 0.4200
H 0.8287 0.4124 0.9200
H 0.8864 0.2097 0.5390
H 0.8864 0.2903 0.0390
H 0.9006 0.2130 0.3509
H 0.9006 0.2870 0.8509
N 0.1757 0.6810 0.0784
N 0.1757 0.8190 0.5784
N 0.8243 0.1810 0.4216
N 0.8243 0.3190 0.9216
O 0.0112 0.5050 0.7740
O 0.0112 0.9950 0.2740
O 0.0673 0.2291 0.7465
O 0.0673 0.2709 0.2465
O 0.1435 0.1005 0.9995
O 0.1435 0.3995 0.4995
O 0.3129 0.0642 0.8003
O 0.3129 0.4358 0.3003
O 0.3180 0.1144 0.5189
O 0.3180 0.3856 0.0189
O 0.3954 0.5609 0.7602
O 0.3954 0.9391 0.2602
O 0.4537 0.2368 0.2516
O 0.4537 0.2632 0.7516
O 0.5463 0.7368 0.2484
O 0.5463 0.7632 0.7484
O 0.6046 0.0609 0.7398
O 0.6046 0.4391 0.2398
O 0.6820 0.6144 0.9811
O 0.6820 0.8856 0.4811
O 0.6871 0.5642 0.6997
O 0.6871 0.9358 0.1997
O 0.8565 0.6005 0.5005
O 0.8565 0.8995 0.0005
O 0.9327 0.7291 0.7535
O 0.9327 0.7709 0.2535
O 0.9888 0.0050 0.7260
O 0.9888 0.4950 0.2260

Output
Crystal system: monoclinic
Total energy: -6.7768 eV/atom

---

(6)
Below is a relaxed Lu3Nb5H12 crystal, with properties calculated at the PBE-GGA level.

abc: 10.1454 10.1454 10.1454
angles: 109.47 109.47 109.47
Atoms (fractional coordinates):
Lu 0.1250 0.2500 0.3750
Lu 0.1250 0.3750 0.7500
Lu 0.2500 0.3750 0.1250
Lu 0.2500 0.8750 0.6250
Lu 0.3750 0.1250 0.2500
Lu 0.3750 0.7500 0.1250
Lu 0.6250 0.2500 0.8750
Lu 0.6250 0.8750 0.7500
Lu 0.7500 0.1250 0.3750
Lu 0.7500 0.6250 0.8750
Lu 0.8750 0.6250 0.2500
Lu 0.8750 0.7500 0.6250
Nb 0.0000 0.0000 0.0000
Nb 0.0000 0.0000 0.5000
Nb 0.0000 0.5000 0.0000
Nb 0.0000 0.5000 0.5000
Nb 0.1250 0.7500 0.8750
Nb 0.1250 0.8750 0.2500
Nb 0.2500 0.1250 0.8750
Nb 0.2500 0.6250 0.3750
Nb 0.3750 0.2500 0.6250
Nb 0.3750 0.6250 0.7500
Nb 0.5000 0.0000 0.0000
Nb 0.5000 0.0000 0.5000
Nb 0.5000 0.5000 0.0000
Nb 0.5000 0.5000 0.5000
Nb 0.6250 0.3750 0.2500
Nb 0.6250 0.7500 0.3750
Nb 0.7500 0.3750 0.6250
Nb 0.7500 0.8750 0.1250
Nb 0.8750 0.1250 0.7500
Nb 0.8750 0.2500 0.1250
H 0.0547 0.2170 0.1376
H 0.0547 0.3377 0.9171
H 0.0794 0.7170 0.6623
H 0.0794 0.8624 0.4171
H 0.0829 0.6376 0.4206
H 0.0829 0.9453 0.6623
H 0.1376 0.0547 0.2170
H 0.1376 0.5829 0.9206
H 0.1623 0.2170 0.5794
H 0.1623 0.4453 0.5829
H 0.2170 0.1376 0.0547
H 0.2170 0.5794 0.1623
H 0.2830 0.3377 0.9206
H 0.2830 0.4453 0.3624
H 0.3377 0.9171 0.0547
H 0.3377 0.9206 0.2830
H 0.3624 0.2830 0.4453
H 0.3624 0.5794 0.9171
H 0.4171 0.0794 0.8624
H 0.4171 0.8377 0.5547
H 0.4206 0.0829 0.6376
H 0.4206 0.8377 0.7830
H 0.4453 0.3624 0.2830
H 0.4453 0.5829 0.1623
H 0.5547 0.4171 0.8377
H 0.5547 0.6376 0.7170
H 0.5794 0.1623 0.2170
H 0.5794 0.9171 0.3624
H 0.5829 0.1623 0.4453
H 0.5829 0.9206 0.1376
H 0.6376 0.4206 0.0829
H 0.6376 0.7170 0.5547
H 0.6623 0.0794 0.7170
H 0.6623 0.0829 0.9453
H 0.7170 0.5547 0.6376
H 0.7170 0.6623 0.0794
H 0.7830 0.4206 0.8377
H 0.7830 0.8624 0.9453
H 0.8377 0.5547 0.4171
H 0.8377 0.7830 0.4206
H 0.8624 0.4171 0.0794
H 0.8624 0.9453 0.7830
H 0.9171 0.0547 0.3377
H 0.9171 0.3624 0.5794
H 0.9206 0.1376 0.5829
H 0.9206 0.2830 0.3377
H 0.9453 0.6623 0.0829
H 0.9453 0.7830 0.8624

Output
Crystal system: cubic
Total energy: -5.5324 eV/atom

---

Which value of total energy does entry 5 give?
-6.7768 eV/atom

---

Among the records above, which one has the highest total energy?
Lu2MnH